No. 1
First-principles (PBE) data for an optimized crystal structure of Pr2SnI3, as listed in Alexandria via LeMat-Bulk.

a b c (Å): 10.531 10.531 14.160
angles (deg): 127.32 127.32 24.36
Fractional positions:
Pr (0.110, 0.110, 0.434)
Pr (0.372, 0.372, 0.176)
Pr (0.628, 0.628, 0.824)
Pr (0.890, 0.890, 0.566)
Sn (0.066, 0.066, 0.625)
Sn (0.934, 0.934, 0.375)
I (0.173, 0.173, 0.028)
I (0.257, 0.257, 0.384)
I (0.454, 0.454, 0.776)
I (0.546, 0.546, 0.224)
I (0.743, 0.743, 0.616)
I (0.827, 0.827, 0.972)

Total magnetic moment in μB/f.u.: 0.000
N(E_F) in states/eV/cell: 1.8
ΔE_f (raw) in eV/f.u.: -6.43

---

No. 2
First-principles (PBE) data for an optimized crystal structure of GaHN2O, as listed in Alexandria via LeMat-Bulk.

a b c (Å): 4.160 4.160 3.725
angles (deg): 90.00 90.00 90.00
Fractional positions:
Ga (0.000, 0.000, 0.000)
H (0.500, 0.500, 0.500)
N (0.000, 0.500, 0.000)
N (0.500, 0.000, 0.000)
O (0.000, 0.000, 0.500)

Total magnetic moment in μB/f.u.: 4.010
E_tot in eV/cell: -19.87
N(E_F) in states/eV/cell: 2.2

---

No. 3
First-principles (PBE) data for an optimized crystal structure of Ho2TlCd3, as listed in Alexandria via LeMat-Bulk.

a b c (Å): 9.950 9.278 6.084
angles (deg): 77.68 65.64 36.68
Fractional positions:
Ho (0.250, 0.250, 0.250)
Ho (0.250, 0.750, 0.750)
Ho (0.750, 0.250, 0.250)
Ho (0.750, 0.750, 0.750)
Tl (0.167, 0.167, 0.833)
Tl (0.833, 0.833, 0.167)
Cd (0.171, 0.665, 0.335)
Cd (0.335, 0.829, 0.171)
Cd (0.336, 0.336, 0.664)
Cd (0.664, 0.664, 0.336)
Cd (0.665, 0.171, 0.829)
Cd (0.829, 0.335, 0.665)

Total magnetic moment in μB/f.u.: 0.000
E_tot in eV/cell: -31.93
N(E_F) in states/eV/cell: 8.8

---

No. 4
First-principles (PBE) data for an optimized crystal structure of PaTlCuO6, as listed in Alexandria via LeMat-Bulk.

a b c (Å): 5.357 5.357 4.770
angles (deg): 90.00 90.00 120.00
Fractional positions:
Pa (0.000, 0.000, 0.000)
Tl (0.333, 0.667, 0.500)
Cu (0.667, 0.333, 0.500)
O (0.352, 0.037, 0.739)
O (0.352, 0.314, 0.261)
O (0.686, 0.037, 0.261)
O (0.686, 0.648, 0.739)
O (0.963, 0.314, 0.739)
O (0.963, 0.648, 0.261)

Total magnetic moment in μB/f.u.: 0.988
N(E_F) in states/eV/cell: 3.5
ΔE_f (raw) in eV/f.u.: -13.34

---

No. 5
First-principles (PBE) data for an optimized crystal structure of MgHgIr, as listed in Alexandria via LeMat-Bulk.

a b c (Å): 5.554 5.554 5.554
angles (deg): 146.22 146.22 48.52
Fractional positions:
Mg (0.000, 0.000, 0.000)
Hg (0.313, 0.313, 0.000)
Ir (0.638, 0.638, 0.000)

Total magnetic moment in μB/f.u.: 0.000
Energy above the lowest structure with this stoichiometry in meV per atom: 0.0
N(E_F) in states/eV/cell: 1.6

---

No. 6
First-principles (PBE) data for an optimized crystal structure of V5Te6, as listed in Alexandria via LeMat-Bulk.

a b c (Å): 6.912 6.912 6.953
angles (deg): 99.04 99.04 120.49
Fractional positions:
V (0.000, 0.000, 0.000)
V (0.176, 0.824, 0.500)
V (0.355, 0.645, 0.000)
V (0.645, 0.355, 0.000)
V (0.824, 0.176, 0.500)
Te (0.053, 0.410, 0.230)
Te (0.232, 0.232, 0.732)
Te (0.410, 0.053, 0.230)
Te (0.590, 0.947, 0.770)
Te (0.768, 0.768, 0.268)
Te (0.947, 0.590, 0.770)

Total magnetic moment in μB/f.u.: 13.007
N(E_F) in states/eV/cell: 12.4
ΔE_f (raw) in eV/f.u.: -1.47